# 1
First-principles (GGA-PBEsol) data for a relaxed structure of SrTa2Zn, as listed in Alexandria.

Cell: 2.924 5.027 6.314 Å, 96.75 90.00 106.91°
Atoms (fractional coordinates):
Sr 0.763 0.525 0.269
Ta 0.979 0.958 0.900
Ta 0.237 0.474 0.786
Zn 0.521 0.042 0.545

---

# 2
First-principles (GGA-PBEsol) data for a relaxed structure of ZrRh, as listed in Alexandria.

Cell: 3.399 3.399 7.872 Å, 90.00 90.00 120.00°
Atoms (fractional coordinates):
Rh 0.667 0.333 0.117
Rh 0.333 0.667 0.883
Zr 0.667 0.333 0.680
Zr 0.333 0.667 0.320

---

# 3
First-principles (GGA-PBEsol) data for a relaxed structure of K4HgAs2, as listed in Alexandria.

Cell: 5.695 5.695 9.785 Å, 73.08 73.08 60.00°
Atoms (fractional coordinates):
K 0.792 0.792 0.623
K 0.208 0.208 0.377
K 0.611 0.611 0.167
K 0.389 0.389 0.833
As 0.910 0.910 0.270
As 0.090 0.090 0.730
Hg 0.000 0.000 0.000

---

# 4
First-principles (GGA-PBEsol) data for a relaxed structure of NaMnTl2F, as listed in Alexandria.

Cell: 3.843 5.596 5.596 Å, 90.00 90.00 90.00°
Site moments in Bohr magnetons follow the coordinates.
Atoms (fractional coordinates):
Na 0.500 0.500 0.500  0.00
Tl 0.000 0.000 0.500  -0.02
Tl 0.000 0.500 0.000  -0.02
Mn 0.500 0.000 0.000  4.01
F 0.000 0.000 0.000  0.05

Output
Raw formation energy = -270 meV per atom

---

# 5
First-principles (GGA-PBEsol) data for a relaxed structure of Li2LaAs2, as listed in Alexandria.

Cell: 4.136 4.136 6.318 Å, 109.10 109.10 90.00°
Atoms (fractional coordinates):
As 0.383 0.383 0.766
As 0.617 0.617 0.234
La 0.000 0.000 0.000
Li 0.250 0.750 0.500
Li 0.750 0.250 0.500

---

# 6
First-principles (GGA-PBEsol) data for a relaxed structure of RbZn2GeO, as listed in Alexandria.

Cell: 4.510 4.510 7.419 Å, 90.00 90.00 90.00°
Site moments in Bohr magnetons follow the coordinates.
Atoms (fractional coordinates):
O 0.500 0.500 0.500  0.84
Ge 0.000 0.000 0.000  0.02
Zn 0.000 0.500 0.000  0.00
Zn 0.500 0.000 0.000  0.00
Rb 0.000 0.000 0.500  0.00

Output
Raw formation energy = 406 meV per atom

---

# 7
First-principles (GGA-PBEsol) data for a relaxed structure of Na2Hg2Sb, as listed in Alexandria.

Cell: 3.349 8.482 8.482 Å, 90.00 90.00 90.00°
Atoms (fractional coordinates):
Sb 0.000 0.000 0.000
Sb 0.000 0.500 0.500
Hg 0.000 0.377 0.877
Hg 0.000 0.877 0.623
Hg 0.000 0.623 0.123
Hg 0.000 0.123 0.377
Na 0.500 0.175 0.675
Na 0.500 0.675 0.825
Na 0.500 0.825 0.325
Na 0.500 0.325 0.175

Output
Raw formation energy = -197 meV per atom

---

# 8
First-principles (GGA-PBEsol) data for a relaxed structure of ZrAgAsBr2, as listed in Alexandria.

Cell: 4.945 4.945 5.152 Å, 90.00 90.00 90.00°
Site moments in Bohr magnetons follow the coordinates.
Atoms (fractional coordinates):
As 0.000 0.000 0.500  -0.11
Br 0.000 0.500 0.000  -0.04
Br 0.500 0.000 0.000  -0.04
Zr 0.500 0.500 0.500  0.93
Ag 0.000 0.000 0.000  -0.01

Output
Raw formation energy = 504 meV per atom

---

Values for energy, eV per atom, ordered as above
-6.542; -8.751; -2.612; -3.939; -4.855; -2.470; -1.895; -3.745